(1)
Computed, not measured: a geometry-optimized Ac2DyPt2I2 structure at the PBE-GGA level of DFT.

Summary:
D(E_F) = 6.31 states/eV/f.u.
Formation energy (no corrections) = -733 kJ/mol of formula units
Energy = -35.59 eV per cell

a = 5.292 Å, b = 5.292 Å, c = 9.515 Å
α = 106.15°, β = 106.15°, γ = 90.00°
Element x y z (fractional)
Pt 0.500 0.000 0.000
Pt 0.000 0.500 0.000
I 0.192 0.192 0.384
I 0.808 0.808 0.616
Dy 0.000 0.000 0.000
Ac 0.608 0.608 0.216
Ac 0.392 0.392 0.784

=====

(2)
Computed, not measured: a geometry-optimized AcDyRhI structure at the PBE-GGA level of DFT.

Summary:
Formation energy (no corrections) = -376 kJ/mol of formula units
Energy = -21.51 eV per cell

a = 4.207 Å, b = 4.207 Å, c = 8.676 Å
α = 90.00°, β = 104.03°, γ = 120.00°
Element x y z (fractional)
I 0.953 0.375 0.342
Ac 0.516 0.156 0.687
Dy 0.093 0.945 0.053
Rh 0.315 0.556 0.886